# Ga2Ag2Ge

Crystalline Ga2Ag2Ge at its relaxed geometry (PBE, Alexandria).

Values from the calculation:
Energy of formation from the pure elements ... 0.89 eV per formula unit
VASP energy ... -3.10 eV per atom
E above lowest polymorph ... 47 meV per atom
Magnetic moment ... 0.000 μB/atom
D(E_F) ... 4.54 states/eV/cell

```
data_Ga2Ag2Ge
_chemical_formula_sum 'Ga4 Ag4 Ge2'
_cell_length_a 3.9097
_cell_length_b 3.9097
_cell_length_c 12.7003
_cell_angle_alpha 90.00
_cell_angle_beta 90.00
_cell_angle_gamma 90.00
_space_group_name_H-M_alt 'I 4/m m m'
_space_group_IT_number 139
_space_group_name_Hall '-I 4 2'
loop_
_atom_site_label
_atom_site_type_symbol
_atom_site_fract_x
_atom_site_fract_y
_atom_site_fract_z
Ga1 Ga 0.0000 0.0000 0.0980
Ag1 Ag 0.0000 0.5000 0.2500
Ge1 Ge 0.0000 0.0000 0.5000
```